[1]
DFT (PBE) results for a relaxed Sc2BrO2 crystal.

Values from the calculation:
Space group: I4/mmm (139)
Crystal system: tetragonal

abc: 3.810 3.810 6.075
angles: 71.73 71.73 90.00
Positions (direct):
1 Sc 0.335 0.335 0.331
2 Sc 0.665 0.665 0.669
3 O 0.750 0.250 0.500
4 O 0.250 0.750 0.500
5 Br 0.000 0.000 0.000

[2]
DFT (PBE) results for a relaxed Ca2MgTiNi crystal.

Values from the calculation:
Space group: P4/mmm (123)
Crystal system: tetragonal

abc: 5.579 5.018 5.579
angles: 90.00 90.00 90.00
Positions (direct):
1 Ni 0.500 0.500 0.500
2 Ca 0.000 0.000 0.500
3 Ca 0.500 0.000 0.000
4 Mg 0.000 0.000 0.000
5 Ti 0.000 0.500 0.000

[3]
DFT (PBE) results for a relaxed Y2ScAl crystal.

Values from the calculation:
Space group: Imm2 (44)
Crystal system: orthorhombic

abc: 6.376 6.376 5.185
angles: 66.02 66.02 33.21
Positions (direct):
1 Y 0.004 0.004 0.997
2 Y 0.220 0.220 0.280
3 Sc 0.786 0.786 0.714
4 Al 0.491 0.491 0.510

| no. | VASP energy (eV per atom) |
| --- | --- |
| 1 | -7.55 |
| 2 | -2.63 |
| 3 | -5.97 |